# GGA-PBE PuPtAu, relaxed
data_PuPtAu
_cell_length_a 3.6753
_cell_length_b 3.6753
_cell_length_c 9.2971
_cell_angle_alpha 90.00
_cell_angle_beta 90.00
_cell_angle_gamma 90.00
_symmetry_space_group_name_H-M 'I 4 m m'
_symmetry_Int_Tables_number 107
_symmetry_space_group_name_Hall 'I 4 -2'
loop_
_atom_site_label
_atom_site_type_symbol
_atom_site_fract_x
_atom_site_fract_y
_atom_site_fract_z
_atom_site_occupancy
Pu1 Pu 0.0000 0.0000 0.0000 1
Pt1 Pt 0.0000 0.0000 0.6554 1
Au1 Au 0.0000 0.0000 0.3219 1
# Electronic total energy: -8.381 eV per atom
# E_form: -498 meV per atom